# 1
Na2B3C | Alexandria via LeMat-Bulk | PBE | optimized geometry; distance to the lowest polymorph of the same formula = 0.057 eV/atom; energy of formation = 0.1906 eV/atom; size of the total moment = 0.00 μB/f.u.; total DFT energy (no corrections) = -5.1251 eV/atom; D(E_F) = 1.8 states/eV/f.u.
1.0
2.914 0.000 0.000
-1.457 2.524 0.000
0.000 0.000 42.878
B Na C
15 10 5
direct
0.333 0.667 0.351
0.333 0.667 0.251
0.667 0.333 0.251
0.333 0.667 0.451
0.333 0.667 0.048
0.667 0.333 0.650
0.667 0.333 0.850
0.667 0.333 0.451
0.667 0.333 0.750
0.333 0.667 0.551
0.333 0.667 0.150
0.667 0.333 0.150
0.333 0.667 0.750
0.667 0.333 0.048
0.333 0.667 0.948
0.000 0.000 0.801
0.000 0.000 0.201
0.000 0.000 0.899
0.000 0.000 0.502
0.000 0.000 0.600
0.000 0.000 0.699
0.000 0.000 0.401
0.000 0.000 0.099
0.000 0.000 0.302
0.000 0.000 0.997
0.667 0.333 0.948
0.667 0.333 0.552
0.667 0.333 0.351
0.333 0.667 0.850
0.333 0.667 0.649

***

# 2
Na2B3C | Alexandria via LeMat-Bulk | PBE | optimized geometry; distance to the lowest polymorph of the same formula = 0.046 eV/atom; energy of formation = 0.1796 eV/atom; size of the total moment = 0.00 μB/f.u.; total DFT energy (no corrections) = -5.1361 eV/atom; D(E_F) = 0.9 states/eV/f.u.
1.0
6.290 0.029 -4.513
4.270 4.621 -4.514
0.632 0.276 10.378
B Na C
15 10 5
direct
0.440 0.755 0.750
0.975 0.606 0.750
0.550 0.241 0.750
0.159 0.851 0.750
0.834 0.166 0.250
0.616 0.984 0.250
0.242 0.569 0.250
0.645 0.960 0.750
0.434 0.766 0.250
0.794 0.425 0.750
0.810 0.185 0.750
0.031 0.358 0.250
0.370 0.030 0.750
0.967 0.632 0.249
0.216 0.590 0.751
0.200 0.198 0.497
0.804 0.801 0.005
0.600 0.596 0.497
0.598 0.605 0.004
0.795 0.802 0.496
0.999 0.997 0.495
0.395 0.401 0.496
0.998 0.005 0.002
0.204 0.201 0.005
0.401 0.400 0.003
0.568 0.235 0.250
0.769 0.426 0.251
0.048 0.352 0.749
0.365 0.032 0.250
0.175 0.831 0.250

***

# 3
Na2B3C | Alexandria via LeMat-Bulk | PBE | optimized geometry; distance to the lowest polymorph of the same formula = 0.021 eV/atom; energy of formation = 0.1544 eV/atom; size of the total moment = 0.00 μB/f.u.; total DFT energy (no corrections) = -5.1613 eV/atom; D(E_F) = 0.9 states/eV/f.u.
1.0
2.824 0.000 0.000
0.000 8.621 0.000
0.000 0.000 10.413
Na C B
8 4 12
direct
0.500 0.498 0.252
0.500 0.501 0.748
0.000 0.499 0.999
0.000 0.500 0.501
0.500 0.002 0.252
0.500 0.999 0.748
0.000 0.001 0.999
0.000 0.000 0.501
0.500 0.250 0.428
0.500 0.250 0.908
0.500 0.750 0.082
0.000 0.250 0.668
0.000 0.750 0.834
0.500 0.250 0.061
0.000 0.250 0.349
0.000 0.750 0.674
0.500 0.750 0.418
0.000 0.250 0.173
0.500 0.750 0.934
0.000 0.750 0.156
0.500 0.750 0.579
0.500 0.250 0.589
0.000 0.250 0.826
0.000 0.750 0.320